1.
DFT (PBE) results for a relaxed RbReIO2 crystal.

Cell and atoms, written as extended XYZ:
```
5
Lattice="-3.2495 -2.3797 1.0640 -0.0692 -1.6210 -3.8369 3.5682 -4.1225 1.6773" Properties=species:S:1:pos:R:3 pbc="T T T"
I 1.7841 -2.0612 0.8386
Re 0.0000 0.0000 0.0000
O -0.0346 -0.8105 -1.9184
O -1.6247 -1.1898 0.5320
Rb 0.1247 -4.0616 -0.5478
```

## Properties
SG	P4/mmm



2.
DFT (PBE) results for a relaxed RbReIO2 crystal.

Cell and atoms, written as extended XYZ:
```
5
Lattice="-0.5858 0.8929 -4.3345 3.6727 -2.3414 -0.9787 -3.7723 -5.6442 -0.6529" Properties=species:S:1:pos:R:3 pbc="T T T"
I -1.8861 -2.8221 -0.3265
Re -0.3427 -3.5463 -2.9830
O 1.8363 -1.1707 -0.4893
O -0.2929 0.4465 -2.1673
Rb 0.0000 0.0000 0.0000
```

## Properties
SG	P4/mmm



Short version: 1 is the most stable of them.



1.
DFT (PBE) results for a relaxed RbRuI2O crystal.

Cell and atoms, written as extended XYZ:
```
5
Lattice="-4.3981 -4.7726 -0.0316 4.2254 -3.9137 2.9918 -1.4325 1.2955 3.7178" Properties=species:S:1:pos:R:3 pbc="T T T"
I 2.1127 -1.9568 1.4959
I -2.1991 -2.3863 -0.0158
Ru -0.8026 -3.6954 3.3390
O -0.7162 0.6477 1.8589
Rb 0.0000 0.0000 0.0000
```

## Properties
SG	P4/mmm



2.
DFT (PBE) results for a relaxed RbRuI2O crystal.

Cell and atoms, written as extended XYZ:
```
5
Lattice="5.9230 0.0000 0.0000 0.0000 5.9230 0.0000 0.0000 0.0000 3.8161" Properties=species:S:1:pos:R:3 pbc="T T T"
I 0.0000 2.9615 0.0000
I 2.9615 0.0000 0.0000
Ru 0.0000 0.0000 0.0000
O 0.0000 0.0000 1.9080
Rb 2.9615 2.9615 1.9080
```

## Properties
SG	P4/mmm



Short version: 2 is the most stable of them.



1.
DFT (PBE) results for a relaxed RbRuIO2 crystal.

Cell and atoms, written as extended XYZ:
```
5
Lattice="4.2354 0.0000 0.0000 0.0000 4.2354 0.0000 0.0000 0.0000 5.5671" Properties=species:S:1:pos:R:3 pbc="T T T"
I 0.0000 0.0000 2.7836
Ru 0.0000 0.0000 0.0000
O 0.0000 2.1177 0.0000
O 2.1177 0.0000 0.0000
Rb 2.1177 2.1177 2.7836
```

## Properties
SG	P4/mmm



2.
DFT (PBE) results for a relaxed RbRuIO2 crystal.

Cell and atoms, written as extended XYZ:
```
5
Lattice="4.4060 0.0000 0.0000 0.0000 4.4060 0.0000 0.0000 0.0000 7.0069" Properties=species:S:1:pos:R:3 pbc="T T T"
I 0.0000 0.0000 3.5035
Ru 2.2030 2.2030 3.5035
O 0.0000 2.2030 0.0000
O 2.2030 0.0000 0.0000
Rb 0.0000 0.0000 0.0000
```

## Properties
SG	P4/mmm



Short version: 1 is the most stable of them.